Compound: ScW2Se
Source: Alexandria
Functional: meta-GGA SCAN
Structure: single point on PBEsol structure

a = 2.895 Å, b = 2.895 Å, c = 8.540 Å
α = 90.00°, β = 90.00°, γ = 108.72°
Element x y z (fractional)
Sc 0.000 0.000 0.000
W 0.500 0.500 0.271
W 0.500 0.500 0.729
Se 0.000 0.000 0.500

Summary:
Uncorrected formation energy: 2.50 eV/f.u.
Spin magnetization: 0.00 μB/cell
DOS(E_F): 3.0 states/eV/cell
Raw total energy: -42.7986 eV per atom



Compound: NiMo2Ru
Source: Alexandria
Functional: meta-GGA SCAN
Structure: single point on PBEsol structure

a = 8.892 Å, b = 8.892 Å, c = 8.892 Å
α = 17.40°, β = 17.40°, γ = 17.40°
Element x y z (fractional)
Ni 0.000 0.000 0.000
Mo 0.252 0.252 0.252
Mo 0.748 0.748 0.748
Ru 0.500 0.500 0.500

Summary:
ΔE_f: 0.221 eV per atom
Spin magnetization: 0.00 μB/cell
DOS(E_F): 3.1 states/eV/cell
Raw total energy: -29.9718 eV per atom



Compound: Ba2Zn3F10
Source: Alexandria
Functional: meta-GGA SCAN
Structure: single point on PBEsol structure

a = 9.800 Å, b = 9.800 Å, c = 7.829 Å
α = 110.32°, β = 110.32°, γ = 35.65°
Element x y z (fractional)
Ba 0.115 0.115 0.221
Ba 0.220 0.220 0.814
Ba 0.780 0.780 0.186
Ba 0.885 0.885 0.779
Zn 0.242 0.758 0.500
Zn 0.324 0.324 0.478
Zn 0.425 0.425 0.046
Zn 0.575 0.575 0.954
Zn 0.676 0.676 0.522
Zn 0.758 0.242 0.500
F 0.000 0.500 0.500
F 0.015 0.015 0.689
F 0.108 0.591 0.024
F 0.121 0.654 0.468
F 0.262 0.262 0.213
F 0.274 0.726 0.000
F 0.346 0.879 0.532
F 0.365 0.365 0.753
F 0.409 0.892 0.976
F 0.480 0.480 0.319
F 0.500 0.000 0.500
F 0.520 0.520 0.681
F 0.591 0.108 0.024
F 0.635 0.635 0.247
F 0.654 0.121 0.468
F 0.726 0.274 0.000
F 0.738 0.738 0.787
F 0.879 0.346 0.532
F 0.892 0.409 0.976
F 0.985 0.985 0.311

Summary:
Uncorrected formation energy: -47.60 eV/f.u.
Spin magnetization: 0.00 μB/cell
DOS(E_F): 0.0 states/eV/cell
Raw total energy: -13.5099 eV per atom



Compound: Tl2AgMoRu
Source: Alexandria
Functional: meta-GGA SCAN
Structure: single point on PBEsol structure

a = 5.177 Å, b = 5.177 Å, c = 4.880 Å
α = 90.00°, β = 90.00°, γ = 90.00°
Element x y z (fractional)
Tl 0.000 0.500 0.000
Tl 0.500 0.000 0.000
Ag 0.000 0.000 0.500
Mo 0.000 0.000 0.000
Ru 0.500 0.500 0.500

Summary:
ΔE_f: 1.781 eV per atom
Spin magnetization: 3.00 μB/cell
DOS(E_F): 3.8 states/eV/cell
Raw total energy: -47.3780 eV per atom



Compound: TaInCo2
Source: Alexandria
Functional: meta-GGA SCAN
Structure: single point on PBEsol structure

a = 4.319 Å, b = 2.915 Å, c = 5.019 Å
α = 90.00°, β = 113.06°, γ = 90.00°
Element x y z (fractional)
Ta 0.000 0.000 0.000
In 0.000 0.500 0.500
Co 0.500 0.000 0.500
Co 0.500 0.500 0.000

Summary:
ΔE_f: 0.351 eV per atom
Spin magnetization: 1.48 μB/cell
DOS(E_F): 2.1 states/eV/cell
Raw total energy: -33.2938 eV per atom



Compound: Na5H29I2O24
Source: Alexandria
Functional: meta-GGA SCAN
Structure: single point on PBEsol structure

a = 8.569 Å, b = 8.613 Å, c = 9.214 Å
α = 84.18°, β = 73.87°, γ = 63.30°
Element x y z (fractional)
Na 0.000 0.000 0.000
Na 0.350 0.268 0.655
Na 0.353 0.752 0.119
Na 0.647 0.248 0.881
Na 0.650 0.732 0.345
H 0.056 0.659 0.199
H 0.077 0.844 0.735
H 0.085 0.014 0.652
H 0.152 0.559 0.819
H 0.156 0.600 0.027
H 0.208 0.134 0.081
H 0.254 0.490 0.434
H 0.264 0.928 0.400
H 0.296 0.732 0.423
H 0.309 0.945 0.726
H 0.323 0.028 0.918
H 0.347 0.524 0.842
H 0.419 0.402 0.178
H 0.478 0.114 0.301
H 0.500 0.500 0.000
H 0.522 0.886 0.699
H 0.581 0.598 0.822
H 0.653 0.476 0.158
H 0.677 0.972 0.082
H 0.691 0.055 0.274
H 0.704 0.268 0.577
H 0.736 0.072 0.600
H 0.746 0.510 0.566
H 0.792 0.866 0.919
H 0.844 0.400 0.973
H 0.848 0.441 0.181
H 0.915 0.986 0.348
H 0.923 0.156 0.265
H 0.944 0.341 0.801
I 0.053 0.328 0.414
I 0.947 0.672 0.586
O 0.033 0.414 0.619
O 0.034 0.294 0.229
O 0.102 0.113 0.488
O 0.111 0.697 0.102
O 0.116 0.937 0.738
O 0.211 0.594 0.505
O 0.257 0.472 0.855
O 0.261 0.021 0.027
O 0.286 0.308 0.357
O 0.352 0.806 0.362
O 0.400 0.988 0.729
O 0.479 0.579 0.885
O 0.521 0.421 0.115
O 0.600 0.012 0.271
O 0.648 0.194 0.638
O 0.714 0.692 0.643
O 0.739 0.979 0.973
O 0.743 0.528 0.145
O 0.789 0.406 0.495
O 0.884 0.063 0.262
O 0.889 0.303 0.898
O 0.898 0.887 0.512
O 0.966 0.706 0.771
O 0.967 0.586 0.381

Summary:
Spin magnetization: 0.09 μB/cell
DOS(E_F): 0.0 states/eV/cell
Raw total energy: -6.8013 eV per atom



Compound: CdSi2Rh
Source: Alexandria
Functional: meta-GGA SCAN
Structure: single point on PBEsol structure

a = 2.891 Å, b = 2.891 Å, c = 7.542 Å
α = 90.00°, β = 90.00°, γ = 90.00°
Element x y z (fractional)
Cd 0.000 0.000 0.000
Si 0.500 0.500 0.299
Si 0.500 0.500 0.701
Rh 0.000 0.000 0.500

Summary:
Uncorrected formation energy: -0.23 eV/f.u.
Spin magnetization: 0.00 μB/cell
DOS(E_F): 2.2 states/eV/cell
Raw total energy: -21.1113 eV per atom



Compound: AlCr2Sb
Source: Alexandria
Functional: meta-GGA SCAN
Structure: single point on PBEsol structure

a = 4.519 Å, b = 4.519 Å, c = 4.519 Å
α = 60.00°, β = 60.00°, γ = 60.00°
Element x y z (fractional)
Al 0.000 0.000 0.000
Cr 0.250 0.250 0.250
Cr 0.500 0.500 0.500
Sb 0.750 0.750 0.750

Summary:
Uncorrected formation energy: 0.38 eV/f.u.
Spin magnetization: 0.07 μB/cell
DOS(E_F): 0.7 states/eV/cell
Raw total energy: -20.3505 eV per atom



Compound: Mg3Ag2
Source: Alexandria
Functional: meta-GGA SCAN
Structure: single point on PBEsol structure

a = 5.403 Å, b = 5.403 Å, c = 7.132 Å
α = 131.12°, β = 131.12°, γ = 38.26°
Element x y z (fractional)
Mg 0.000 0.000 0.000
Mg 0.182 0.182 0.593
Mg 0.818 0.818 0.407
Ag 0.400 0.400 0.190
Ag 0.600 0.600 0.810

Summary:
ΔE_f: -0.196 eV per atom
Spin magnetization: 0.00 μB/cell
DOS(E_F): 1.3 states/eV/cell
Raw total energy: -15.7273 eV per atom



Compound: ZnSiIr2
Source: Alexandria
Functional: meta-GGA SCAN
Structure: single point on PBEsol structure

a = 5.009 Å, b = 5.009 Å, c = 5.009 Å
α = 147.55°, β = 123.45°, γ = 66.73°
Element x y z (fractional)
Zn 0.000 0.000 0.000
Si 0.500 0.500 0.000
Ir 0.273 0.773 0.500
Ir 0.727 0.227 0.500

Summary:
Uncorrected formation energy: -0.85 eV/f.u.
Spin magnetization: 0.00 μB/cell
DOS(E_F): 1.6 states/eV/cell
Raw total energy: -41.6444 eV per atom



Compound: LiMnPt2
Source: Alexandria
Functional: meta-GGA SCAN
Structure: single point on PBEsol structure

a = 4.380 Å, b = 4.380 Å, c = 4.380 Å
α = 125.36°, β = 125.36°, γ = 80.94°
Element x y z (fractional)
Li 0.000 0.000 0.000
Mn 0.500 0.500 0.000
Pt 0.250 0.750 0.500
Pt 0.750 0.250 0.500

Summary:
ΔE_f: -0.729 eV per atom
Spin magnetization: 4.41 μB/cell
DOS(E_F): 1.7 states/eV/cell
Raw total energy: -40.9873 eV per atom



Compound: SrLi2Hg
Source: Alexandria
Functional: meta-GGA SCAN
Structure: single point on PBEsol structure

a = 10.864 Å, b = 10.864 Å, c = 10.864 Å
α = 155.61°, β = 155.61°, γ = 34.77°
Element x y z (fractional)
Sr 0.000 0.000 0.000
Sr 0.750 0.250 0.500
Li 0.230 0.625 0.105
Li 0.375 0.480 0.605
Li 0.520 0.125 0.895
Li 0.875 0.770 0.395
Hg 0.250 0.750 0.500
Hg 0.500 0.500 0.000

Summary:
ΔE_f: -0.232 eV per atom
Spin magnetization: 0.00 μB/cell
DOS(E_F): 3.8 states/eV/cell
Raw total energy: -24.0375 eV per atom



> Number 6 is which compound?

Na5H29I2O24



> Look up the DOS(E_F) of the eleventh one.

1.7 states/eV/cell